First-principles (PBE) data for a relaxed UCo5Ge6 crystal, as listed in the Alexandria database.

Lattice parameters (Å, degrees): 5.2266 10.5411 6.8024 90.00 111.88 90.00
Last column: nearest neighbours and their distance in Å.
Space group C2/m (No. 12)
Symmetry-distinct sites (fractional):
U  0.0000  0.0000  0.0000 (multiplicity 2)  8 Ge 2.81-3.11
Co  0.0000  0.1168  0.5000 (multiplicity 4)  6 Ge 2.41-2.50, 1 Co 2.46
Co  0.0000  0.3073  0.0000 (multiplicity 4)  4 Ge 2.37-2.47
Co  0.0000  0.5000  0.5000 (multiplicity 2)  6 Ge 2.28-2.48
Ge  0.1401  0.5000  0.2208 (multiplicity 4)  5 Co 2.28-2.47
Ge  0.2107  0.3044  0.6951 (multiplicity 8)  4 Co 2.37-2.50

## Properties
Total magnetization: 4.03 μB per cell
E_tot: -6.30 eV per atom

***

First-principles (PBE) data for a relaxed KTaTiI2 crystal, as listed in the Alexandria database.

Lattice parameters (Å, degrees): 6.0012 6.0012 6.0742 90.00 90.00 90.00
Last column: nearest neighbours and their distance in Å.
Space group P4/mmm (No. 123)
Symmetry-distinct sites (fractional):
K  0.0000  0.0000  0.0000 (multiplicity 1)  4 I 3.00, 2 Ta 3.04
Ta  0.0000  0.0000  0.5000 (multiplicity 1)  2 K 3.04
Ti  0.5000  0.5000  0.5000 (multiplicity 1)  4 Ta 4.24, 8 I 4.27
I  0.0000  0.5000  0.0000 (multiplicity 2)  2 K 3.00

## Properties
Total magnetization: 4.03 μB per cell
E_tot: -2.91 eV per atom
ΔE_f (raw): 9.4 eV per formula unit

***

First-principles (PBE) data for a relaxed CdRu5 crystal, as listed in the Alexandria database.

Lattice parameters (Å, degrees): 5.0634 5.0634 4.4925 90.00 90.00 120.00
Last column: nearest neighbours and their distance in Å.
Space group P6/mmm (No. 191)
Symmetry-distinct sites (fractional):
Cd  0.0000  0.0000  0.0000 (multiplicity 1)  6 Ru 2.92
Ru  0.0000  0.5000  0.5000 (multiplicity 3)  8 Ru 2.53-2.68
Ru  0.3333  0.6667  0.0000 (multiplicity 2)  9 Ru 2.68-2.92, 3 Cd 2.92

## Properties
Total magnetization: 3.19 μB per cell
E_tot: -7.24 eV per atom
Offset from the most stable computed form: 0.437 eV/atom